Record 1
LiCrBr2: relaxed, GGA-PBEsol.

Cell: 3.871 6.567 7.270 Å, 90.00 90.00 90.00°
Space group Cmmm (No. 65)
Asymmetric unit:
Li: 0.000 0.000 0.000
Cr: 0.000 0.000 0.500
Br: 0.000 0.500 0.246

Computed properties:
Total magnetization in μB/cell: 9.98
DOS(E_F) in states/eV/cell: 0.982
Calculated total energy in eV per atom: -4.463
Raw formation energy in eV/atom: -0.476
E above lowest polymorph in meV/atom: 0
Crystal system: orthorhombic

Record 2
Mg2CrBr: relaxed, GGA-PBEsol.

Cell: 3.299 5.052 10.289 Å, 90.00 90.00 90.00°
Space group Imm2 (No. 44)
Asymmetric unit:
Mg: 0.000 0.000 0.000
Mg: 0.000 0.500 0.215
Cr: 0.000 0.500 0.737
Br: 0.000 0.000 0.443

Computed properties:
Total magnetization in μB/cell: 8.40
DOS(E_F) in states/eV/cell: 4.061
Calculated total energy in eV per atom: -3.695
Raw formation energy in eV/atom: 0.192
Crystal system: orthorhombic

Record 3
MgCrBr2O: relaxed, GGA-PBEsol.

Cell: 5.666 5.666 3.482 Å, 90.00 90.00 90.00°
Space group P4/mmm (No. 123)
Asymmetric unit:
Mg: 0.000 0.000 0.000
Cr: 0.500 0.500 0.000
Br: 0.000 0.500 0.500
O: 0.500 0.500 0.500

Computed properties:
Total magnetization in μB/cell: 3.31
DOS(E_F) in states/eV/cell: 2.759
Calculated total energy in eV per atom: -4.649
Raw formation energy in eV/atom: -0.459
Crystal system: tetragonal

Record 4
MgZnCrBr2: relaxed, GGA-PBEsol.

Cell: 5.081 5.081 5.565 Å, 90.00 90.00 90.00°
Space group P4/mmm (No. 123)
Asymmetric unit:
Mg: 0.000 0.000 0.000
Zn: 0.000 0.000 0.500
Cr: 0.500 0.500 0.500
Br: 0.000 0.500 0.000

Computed properties:
Total magnetization in μB/cell: 5.85
DOS(E_F) in states/eV/cell: 2.846
Calculated total energy in eV per atom: -3.157
Raw formation energy in eV/atom: 0.299
Crystal system: tetragonal